This record from Alexandria describes crystalline NaNpAgSe3 at its relaxed geometry. The functional is GGA-PBE.

Structure (POSCAR):
```
NaNpAgSe3
1.0
4.169 0.000 0.000
0.000 8.037 -0.076
0.000 -2.207 9.373
Se Na Np Ag
6 2 2 2
Cartesian
3.127 1.017 5.055
3.127 7.027 1.212
1.042 2.669 7.964
1.042 4.813 4.241
3.127 3.160 1.333
1.042 -1.197 8.085
1.042 1.157 2.550
3.127 4.673 6.747
1.042 5.124 1.454
3.127 0.706 7.843
1.042 -0.624 5.519
3.127 6.454 3.777
```

Results
The value obtained for the density of states at the Fermi level is 1.48 states/eV per atom. Its spin magnetization is 5.99 Bohr magnetons per cell. The calculation puts the formation energy from raw total energies at -0.876 eV per atom.